DFT (GGA-PBE) results for a geometry-optimized YUSb structure.

Summary:
The total energy comes out at -6.706 eV/atom.

Unit cell a=7.2783 b=7.2783 c=7.2783 alpha=90.00 beta=90.00 gamma=90.00
Closest atoms and distances in Å follow each position.
Element x y z (fractional)
Y 0.0000 0.0000 0.0000  4 U 3.15, 4 Sb 3.15
Y 0.0000 0.5000 0.5000  4 U 3.15, 4 Sb 3.15
Y 0.5000 0.0000 0.5000  4 U 3.15, 4 Sb 3.15
Y 0.5000 0.5000 0.0000  4 U 3.15, 4 Sb 3.15
U 0.2500 0.2500 0.2500  4 Y 3.15
U 0.2500 0.7500 0.7500  4 Y 3.15
U 0.7500 0.2500 0.7500  4 Y 3.15
U 0.7500 0.7500 0.2500  4 Y 3.15
Sb 0.2500 0.2500 0.7500  4 Y 3.15
Sb 0.2500 0.7500 0.2500  4 Y 3.15
Sb 0.7500 0.2500 0.2500  4 Y 3.15
Sb 0.7500 0.7500 0.7500  4 Y 3.15

DFT (GGA-PBE) results for a geometry-optimized TmPuMo structure.

Summary:
As for the formation energy: 0.548 eV/atom.

Unit cell a=6.7378 b=6.7378 c=6.7378 alpha=90.00 beta=90.00 gamma=90.00
Closest atoms and distances in Å follow each position.
Element x y z (fractional)
Tm 0.0000 0.0000 0.0000  4 Mo 2.92
Tm 0.0000 0.5000 0.5000  4 Mo 2.92
Tm 0.5000 0.0000 0.5000  4 Mo 2.92
Tm 0.5000 0.5000 0.0000  4 Mo 2.92
Pu 0.0000 0.0000 0.5000  4 Mo 2.92
Pu 0.0000 0.5000 0.0000  4 Mo 2.92
Pu 0.5000 0.0000 0.0000  4 Mo 2.92
Pu 0.5000 0.5000 0.5000  4 Mo 2.92
Mo 0.2500 0.2500 0.7500  4 Tm 2.92, 4 Pu 2.92
Mo 0.2500 0.7500 0.2500  4 Tm 2.92, 4 Pu 2.92
Mo 0.7500 0.2500 0.2500  4 Tm 2.92, 4 Pu 2.92
Mo 0.7500 0.7500 0.7500  4 Tm 2.92, 4 Pu 2.92

DFT (GGA-PBE) results for a geometry-optimized BeCdAs structure.

Summary:
The total energy comes out at -2.500 eV/atom.

Unit cell a=6.2106 b=6.2106 c=6.2106 alpha=90.00 beta=90.00 gamma=90.00
Closest atoms and distances in Å follow each position.
Element x y z (fractional)
Be 0.0000 0.0000 0.0000  4 Cd 2.69
Be 0.0000 0.5000 0.5000  4 Cd 2.69
Be 0.5000 0.0000 0.5000  4 Cd 2.69
Be 0.5000 0.5000 0.0000  4 Cd 2.69
Cd 0.2500 0.2500 0.7500  4 As 2.69, 4 Be 2.69
Cd 0.2500 0.7500 0.2500  4 As 2.69, 4 Be 2.69
Cd 0.7500 0.2500 0.2500  4 As 2.69, 4 Be 2.69
Cd 0.7500 0.7500 0.7500  4 As 2.69, 4 Be 2.69
As 0.0000 0.0000 0.5000  4 Cd 2.69
As 0.0000 0.5000 0.0000  4 Cd 2.69
As 0.5000 0.0000 0.0000  4 Cd 2.69
As 0.5000 0.5000 0.5000  4 Cd 2.69

DFT (GGA-PBE) results for a geometry-optimized TmTlRe structure.

Summary:
The total energy comes out at -5.485 eV/atom.

Unit cell a=6.6301 b=6.6301 c=6.6301 alpha=90.00 beta=90.00 gamma=90.00
Closest atoms and distances in Å follow each position.
Element x y z (fractional)
Tm 0.0000 0.0000 0.0000  4 Tl 2.87
Tm 0.0000 0.5000 0.5000  4 Tl 2.87
Tm 0.5000 0.0000 0.5000  4 Tl 2.87
Tm 0.5000 0.5000 0.0000  4 Tl 2.87
Tl 0.2500 0.2500 0.7500  4 Re 2.87, 4 Tm 2.87
Tl 0.2500 0.7500 0.2500  4 Re 2.87, 4 Tm 2.87
Tl 0.7500 0.2500 0.2500  4 Re 2.87, 4 Tm 2.87
Tl 0.7500 0.7500 0.7500  4 Re 2.87, 4 Tm 2.87
Re 0.0000 0.0000 0.5000  4 Tl 2.87
Re 0.0000 0.5000 0.0000  4 Tl 2.87
Re 0.5000 0.0000 0.0000  4 Tl 2.87
Re 0.5000 0.5000 0.5000  4 Tl 2.87

DFT (GGA-PBE) results for a geometry-optimized Gd2C3 structure.

Summary:
The total energy comes out at -7.644 eV/atom.

Unit cell a=7.2066 b=7.2066 c=7.2066 alpha=109.47 beta=109.47 gamma=109.47
Closest atoms and distances in Å follow each position.
Element x y z (fractional)
Gd 0.0000 0.1016 0.5000  6 C 2.54-2.65
Gd 0.0000 0.6016 0.5000  6 C 2.54-2.65
Gd 0.1016 0.5000 0.0000  6 C 2.54-2.65
Gd 0.3984 0.3984 0.3984  6 C 2.54-2.65
Gd 0.5000 0.0000 0.1016  6 C 2.54-2.65
Gd 0.5000 0.0000 0.6016  6 C 2.54-2.65
Gd 0.6016 0.5000 0.0000  6 C 2.54-2.65
Gd 0.8984 0.8984 0.8984  6 C 2.54-2.65
C 0.0447 0.7947 0.2500  1 C 1.34
C 0.2053 0.9553 0.2500  1 C 1.34
C 0.2500 0.0447 0.7947  1 C 1.34
C 0.2500 0.2053 0.9553  1 C 1.34
C 0.2947 0.5447 0.7500  1 C 1.34
C 0.4553 0.7053 0.7500  1 C 1.34
C 0.5447 0.7500 0.2947  1 C 1.34
C 0.7053 0.7500 0.4553  1 C 1.34
C 0.7500 0.2947 0.5447  1 C 1.34
C 0.7500 0.4553 0.7053  1 C 1.34
C 0.7947 0.2500 0.0447  1 C 1.34
C 0.9553 0.2500 0.2053  1 C 1.34

DFT (GGA-PBE) results for a geometry-optimized LiDyHg structure.

Summary:
The total energy comes out at -2.365 eV/atom.

Unit cell a=6.8685 b=6.8685 c=6.8685 alpha=90.00 beta=90.00 gamma=90.00
Closest atoms and distances in Å follow each position.
Element x y z (fractional)
Li 0.0000 0.0000 0.0000  4 Hg 2.97
Li 0.0000 0.5000 0.5000  4 Hg 2.97
Li 0.5000 0.0000 0.5000  4 Hg 2.97
Li 0.5000 0.5000 0.0000  4 Hg 2.97
Dy 0.0000 0.0000 0.5000  4 Hg 2.97
Dy 0.0000 0.5000 0.0000  4 Hg 2.97
Dy 0.5000 0.0000 0.0000  4 Hg 2.97
Dy 0.5000 0.5000 0.5000  4 Hg 2.97
Hg 0.2500 0.2500 0.7500  4 Dy 2.97, 4 Li 2.97
Hg 0.2500 0.7500 0.2500  4 Dy 2.97, 4 Li 2.97
Hg 0.7500 0.2500 0.2500  4 Dy 2.97, 4 Li 2.97
Hg 0.7500 0.7500 0.7500  4 Dy 2.97, 4 Li 2.97

DFT (GGA-PBE) results for a geometry-optimized LaHoNi4 structure.

Summary:
As for the formation energy: -0.063 eV/atom.

Unit cell a=5.4445 b=5.4445 c=8.0422 alpha=90.00 beta=90.00 gamma=120.00
Closest atoms and distances in Å follow each position.
Element x y z (fractional)
La 0.0000 0.0000 0.0000  6 Ho 3.14, 12 Ni 3.49
La 0.0000 0.0000 0.5000  18 Ni 3.14-3.28
Ho 0.3333 0.6667 0.0000  6 Ni 2.70
Ho 0.6667 0.3333 0.0000  6 Ni 2.70
Ni 0.0000 0.5000 0.2724  2 Ni 2.41, 2 Ho 2.70
Ni 0.0000 0.5000 0.7276  2 Ni 2.41, 2 Ho 2.70
Ni 0.3333 0.6667 0.5000  6 Ni 2.41
Ni 0.5000 0.0000 0.2724  2 Ni 2.41, 2 Ho 2.70
Ni 0.5000 0.0000 0.7276  2 Ni 2.41, 2 Ho 2.70
Ni 0.5000 0.5000 0.2724  2 Ni 2.41, 2 Ho 2.70
Ni 0.5000 0.5000 0.7276  2 Ni 2.41, 2 Ho 2.70
Ni 0.6667 0.3333 0.5000  6 Ni 2.41

DFT (GGA-PBE) results for a geometry-optimized Pr2Ho2CI2Br2Cl structure.

Summary:
The total energy comes out at -4.938 eV/atom.

Unit cell a=9.5682 b=9.5682 c=8.2338 alpha=102.13 beta=102.13 gamma=23.33
Closest atoms and distances in Å follow each position.
Element x y z (fractional)
Pr 0.1393 0.1393 0.0750  1 C 2.55
Pr 0.8607 0.8607 0.9250  1 C 2.55
Ho 0.4990 0.4990 0.2015  2 C 2.55
Ho 0.5010 0.5010 0.7985  2 C 2.55
C 0.0000 0.0000 0.0000  2 Pr 2.55, 4 Ho 2.55
I 0.3322 0.3322 0.2096  1 Ho 3.14, 2 Pr 3.17
I 0.6678 0.6678 0.7904  1 Ho 3.14, 2 Pr 3.17
Br 0.3485 0.3485 0.6468  1 Ho 2.86, 2 Pr 2.97
Br 0.6515 0.6515 0.3532  1 Ho 2.86, 2 Pr 2.97
Cl 0.0000 0.0000 0.5000  4 Ho 3.12

DFT (GGA-PBE) results for a geometry-optimized LiTaTlIr structure.

Summary:
The total energy comes out at -6.200 eV/atom.

Unit cell a=6.4680 b=6.4680 c=6.4680 alpha=90.00 beta=90.00 gamma=90.00
Closest atoms and distances in Å follow each position.
Element x y z (fractional)
Li 0.0000 0.0000 0.0000  4 Ir 2.80, 4 Tl 2.80
Li 0.0000 0.5000 0.5000  4 Ir 2.80, 4 Tl 2.80
Li 0.5000 0.0000 0.5000  4 Ir 2.80, 4 Tl 2.80
Li 0.5000 0.5000 0.0000  4 Ir 2.80, 4 Tl 2.80
Ta 0.0000 0.0000 0.5000  4 Tl 2.80, 4 Ir 2.80
Ta 0.0000 0.5000 0.0000  4 Tl 2.80, 4 Ir 2.80
Ta 0.5000 0.0000 0.0000  4 Tl 2.80, 4 Ir 2.80
Ta 0.5000 0.5000 0.5000  4 Tl 2.80, 4 Ir 2.80
Tl 0.2500 0.2500 0.2500  4 Li 2.80, 4 Ta 2.80
Tl 0.2500 0.7500 0.7500  4 Li 2.80, 4 Ta 2.80
Tl 0.7500 0.2500 0.7500  4 Li 2.80, 4 Ta 2.80
Tl 0.7500 0.7500 0.2500  4 Li 2.80, 4 Ta 2.80
Ir 0.2500 0.2500 0.7500  4 Ta 2.80, 4 Li 2.80
Ir 0.2500 0.7500 0.2500  4 Ta 2.80, 4 Li 2.80
Ir 0.7500 0.2500 0.2500  4 Ta 2.80, 4 Li 2.80
Ir 0.7500 0.7500 0.7500  4 Ta 2.80, 4 Li 2.80

DFT (GGA-PBE) results for a geometry-optimized NdCdAsO structure.

Summary:
The total energy comes out at -5.264 eV/atom.

Unit cell a=4.6003 b=6.4462 c=6.2284 alpha=90.00 beta=90.00 gamma=90.00
Closest atoms and distances in Å follow each position.
Element x y z (fractional)
Nd 0.0000 0.2387 0.0000  2 O 2.34
Nd 0.0000 0.7613 0.5000  2 O 2.34
Cd 0.5000 0.3588 0.6124  2 O 2.30-2.33
Cd 0.5000 0.6412 0.1124  2 O 2.30-2.33
As 0.0000 0.2248 0.4862  2 Cd 2.58
As 0.0000 0.7752 0.9862  2 Cd 2.58
O 0.5000 0.3070 0.9818  2 Cd 2.30-2.33, 2 Nd 2.34
O 0.5000 0.6930 0.4818  2 Cd 2.30-2.33, 2 Nd 2.34

DFT (GGA-PBE) results for a geometry-optimized ZrTc structure.

Summary:
As for the formation energy: -0.097 eV/atom.

Unit cell a=4.6782 b=6.4611 c=9.3772 alpha=90.00 beta=90.00 gamma=90.00
Closest atoms and distances in Å follow each position.
Element x y z (fractional)
Zr 0.2500 0.0026 0.1269  4 Tc 2.83-2.97, 4 Zr 2.86-3.06
Zr 0.2500 0.2500 0.3885  6 Tc 2.69-2.85, 2 Zr 2.93
Zr 0.2500 0.2500 0.8484  2 Tc 2.69, 4 Zr 2.86
Zr 0.2500 0.4974 0.1269  4 Tc 2.83-2.97, 4 Zr 2.86-3.06
Zr 0.7500 0.5026 0.8731  4 Tc 2.83-2.97, 4 Zr 2.86-3.06
Zr 0.7500 0.7500 0.1516  2 Tc 2.69, 4 Zr 2.86
Zr 0.7500 0.7500 0.6115  6 Tc 2.69-2.85, 2 Zr 2.93
Zr 0.7500 0.9974 0.8731  4 Tc 2.83-2.97, 4 Zr 2.86-3.06
Tc 0.2500 0.0016 0.6181  4 Zr 2.69-2.85, 4 Tc 2.73-2.84
Tc 0.2500 0.4984 0.6181  4 Zr 2.69-2.85, 4 Tc 2.73-2.84
Tc 0.2500 0.7500 0.3838  6 Tc 2.73-2.84, 2 Zr 2.91
Tc 0.2500 0.7500 0.8629  2 Tc 2.81, 6 Zr 2.83-2.97
Tc 0.7500 0.2500 0.1371  2 Tc 2.81, 6 Zr 2.83-2.97
Tc 0.7500 0.2500 0.6162  6 Tc 2.73-2.84, 2 Zr 2.91
Tc 0.7500 0.5016 0.3819  4 Zr 2.69-2.85, 4 Tc 2.73-2.84
Tc 0.7500 0.9984 0.3819  4 Zr 2.69-2.85, 4 Tc 2.73-2.84

DFT (GGA-PBE) results for a geometry-optimized PrNdAg2Pb2 structure.

Summary:
The total energy comes out at -4.233 eV/atom.

Unit cell a=4.9073 b=4.9073 c=7.6654 alpha=90.00 beta=90.00 gamma=120.00
Closest atoms and distances in Å follow each position.
Element x y z (fractional)
Pr 0.0000 0.0000 0.0000  3 Ag 3.21, 6 Pb 3.30-3.56
Nd 0.0000 0.0000 0.5003  3 Ag 3.20, 6 Pb 3.29-3.55
Ag 0.3333 0.6667 0.1963  4 Pb 2.91-3.20, 3 Pr 3.21
Ag 0.6667 0.3333 0.6930  4 Pb 2.91-3.15, 3 Nd 3.20
Pb 0.3333 0.6667 0.7788  4 Ag 2.91-3.20
Pb 0.6667 0.3333 0.2816  4 Ag 2.91-3.15

Please write out number 1 again, unchanged.
DFT (GGA-PBE) results for a geometry-optimized YUSb structure.

Summary:
The total energy comes out at -6.706 eV/atom.

Unit cell a=7.2783 b=7.2783 c=7.2783 alpha=90.00 beta=90.00 gamma=90.00
Closest atoms and distances in Å follow each position.
Element x y z (fractional)
Y 0.0000 0.0000 0.0000  4 U 3.15, 4 Sb 3.15
Y 0.0000 0.5000 0.5000  4 U 3.15, 4 Sb 3.15
Y 0.5000 0.0000 0.5000  4 U 3.15, 4 Sb 3.15
Y 0.5000 0.5000 0.0000  4 U 3.15, 4 Sb 3.15
U 0.2500 0.2500 0.2500  4 Y 3.15
U 0.2500 0.7500 0.7500  4 Y 3.15
U 0.7500 0.2500 0.7500  4 Y 3.15
U 0.7500 0.7500 0.2500  4 Y 3.15
Sb 0.2500 0.2500 0.7500  4 Y 3.15
Sb 0.2500 0.7500 0.2500  4 Y 3.15
Sb 0.7500 0.2500 0.2500  4 Y 3.15
Sb 0.7500 0.7500 0.7500  4 Y 3.15

Repeat the fourth record exactly.
DFT (GGA-PBE) results for a geometry-optimized TmTlRe structure.

Summary:
The total energy comes out at -5.485 eV/atom.

Unit cell a=6.6301 b=6.6301 c=6.6301 alpha=90.00 beta=90.00 gamma=90.00
Closest atoms and distances in Å follow each position.
Element x y z (fractional)
Tm 0.0000 0.0000 0.0000  4 Tl 2.87
Tm 0.0000 0.5000 0.5000  4 Tl 2.87
Tm 0.5000 0.0000 0.5000  4 Tl 2.87
Tm 0.5000 0.5000 0.0000  4 Tl 2.87
Tl 0.2500 0.2500 0.7500  4 Re 2.87, 4 Tm 2.87
Tl 0.2500 0.7500 0.2500  4 Re 2.87, 4 Tm 2.87
Tl 0.7500 0.2500 0.2500  4 Re 2.87, 4 Tm 2.87
Tl 0.7500 0.7500 0.7500  4 Re 2.87, 4 Tm 2.87
Re 0.0000 0.0000 0.5000  4 Tl 2.87
Re 0.0000 0.5000 0.0000  4 Tl 2.87
Re 0.5000 0.0000 0.0000  4 Tl 2.87
Re 0.5000 0.5000 0.5000  4 Tl 2.87